Y2TiNiN | GGA-PBE | relaxed

a = 4.8414 Å, b = 4.8414 Å, c = 3.9480 Å
α = 90.00°, β = 90.00°, γ = 90.00°
Closest atoms and distances in Å follow each position.
Space group P4/mmm (No. 123)
Asymmetric unit:
Y: 0.0000 0.5000 0.0000 [2 per cell]  2 N 2.42
Ti: 0.0000 0.0000 0.5000 [1 per cell]  2 N 1.97
Ni: 0.5000 0.5000 0.5000 [1 per cell]  8 Y 3.12, 4 Ti 3.42
N: 0.0000 0.0000 0.0000 [1 per cell]  2 Ti 1.97

DOS at the Fermi energy	1.0418	states/eV/atom
formation energy (no corrections)	-336	kJ/mol of formula units
total moment	0.70	Bohr magnetons per cell
crystal system	tetragonal